Entry 1:
Computed, not measured: a relaxed structure of PmSmCdAu at the PBE level of DFT.

Cell and atoms, written as extended XYZ:
```
4
Lattice="0.000 3.748 3.748 3.748 0.000 3.748 3.748 3.748 0.000" Properties=species:S:1:pos:R:3 pbc="T T T"
Pm 0.000 0.000 0.000
Sm 3.748 3.748 3.748
Cd 1.874 1.874 1.874
Au 5.622 5.622 5.622
```

Computed properties:
ΔE_f: -0.521 eV/atom
calculated density: 9.537 Mg/m³
E above lowest polymorph: 3.1 kJ/mol of atoms



Entry 2:
Computed, not measured: a relaxed structure of PmSmCdAu at the PBE level of DFT.

Cell and atoms, written as extended XYZ:
```
4
Lattice="3.752 0.000 0.000 0.000 3.752 0.000 0.000 0.000 7.492" Properties=species:S:1:pos:R:3 pbc="T T T"
Pm 0.000 0.000 0.000
Sm 0.000 0.000 3.542
Cd 1.876 1.876 5.505
Au 1.876 1.876 1.800
```

Computed properties:
ΔE_f: -0.553 eV/atom
calculated density: 9.522 Mg/m³
E above lowest polymorph: 0.0 kJ/mol of atoms



Entry 3:
Computed, not measured: a relaxed structure of Pm2CdSnAu6 at the PBE level of DFT.

Cell and atoms, written as extended XYZ:
```
10
Lattice="5.191 0.000 0.000 0.638 5.785 0.000 1.043 1.923 7.377" Properties=species:S:1:pos:R:3 pbc="T T T"
Pm 0.833 2.839 1.752
Pm 6.039 4.868 5.626
Cd 3.436 3.854 3.689
Sn 0.000 0.000 0.000
Au 1.556 5.636 2.759
Au 3.372 6.647 5.114
Au 3.462 3.519 6.843
Au 3.410 4.188 0.535
Au 3.500 1.060 2.264
Au 5.315 2.071 4.618
```

Computed properties:
ΔE_f: -0.466 eV/atom
calculated density: 12.766 Mg/m³